! Pr2Ga3SiPd4 PBE-GGA optimized geometry; values from VASP
&SYSTEM
  ibrav = 0, nat = 10, ntyp = 4
/
ATOMIC_SPECIES
Pr 140.91 Pr.upf
Ga 69.72 Ga.upf
Si 28.09 Si.upf
Pd 106.42 Pd.upf
CELL_PARAMETERS angstrom
-1.8958 1.2368 -3.7282
3.5701 -1.1840 -2.2082
-3.8067 -9.3215 -1.1565
ATOMIC_POSITIONS crystal
Pr 0.5000 0.0000 0.2566
Pr 0.0000 0.5000 0.7434
Ga 0.0000 0.0000 0.5000
Ga 0.5000 0.0000 0.8702
Ga 0.0000 0.5000 0.1298
Si 0.5000 0.5000 0.5000
Pd 0.5000 0.5000 0.0000
Pd 0.0000 0.0000 0.0000
Pd 0.5000 0.0000 0.6216
Pd 0.0000 0.5000 0.3784
! SG: No. 115
! Formation energy from raw total energies, eV/atom: -0.8147